# 1
This record from the Alexandria database describes a relaxed NaCI2 crystal. The functional is GGA-PBE.

Formation energy without anion corrections = 1239 meV/atom
E above lowest polymorph = 465 meV per atom
Symmetry = No. 225

The structure in POSCAR format:
```
NaCI2
1.0
-1.229 -5.113 -1.193
-5.162 -1.521 -0.351
-2.134 -1.210 -4.802
I Na C
2 1 1
direct
0.250 0.250 0.250
0.750 0.750 0.750
0.500 0.500 0.500
0.000 0.000 0.000
```

***

# 2
This record from the Alexandria database describes a relaxed NaC3I crystal. The functional is GGA-PBE.

Formation energy without anion corrections = 3779 meV/atom
E above lowest polymorph = 669 meV per atom
Symmetry = No. 221

The structure in POSCAR format:
```
NaC3I
1.0
4.515 0.000 0.000
0.000 4.515 0.000
0.000 0.000 4.515
I Na C
1 1 3
direct
0.500 0.500 0.500
0.000 0.000 0.000
0.000 0.500 0.000
0.000 0.000 0.500
0.500 0.000 0.000
```

***

# 3
This record from the Alexandria database describes a relaxed NaC3I crystal. The functional is GGA-PBE.

Formation energy without anion corrections = 3110 meV/atom
E above lowest polymorph = 0 meV per atom
Symmetry = No. 221

The structure in POSCAR format:
```
NaC3I
1.0
-3.399 2.492 -0.990
-0.741 -2.409 -3.520
-2.577 -2.594 2.318
I Na C
1 1 3
direct
0.000 0.000 0.000
0.500 0.500 0.500
0.000 0.500 0.000
0.000 0.000 0.500
0.500 0.000 0.000
```

***

# 4
This record from the Alexandria database describes a relaxed NaCI2 crystal. The functional is GGA-PBE.

Formation energy without anion corrections = 774 meV/atom
E above lowest polymorph = 0 meV per atom
Symmetry = No. 122

The structure in POSCAR format:
```
NaCI2
1.0
6.419 0.000 0.000
0.000 6.419 0.000
3.209 3.209 6.723
I Na C
4 2 2
direct
0.517 0.125 0.250
0.233 0.625 0.250
0.375 0.483 0.750
0.875 0.767 0.750
0.000 0.000 0.000
0.750 0.250 0.500
0.500 0.500 0.000
0.250 0.750 0.500
```

***

# 5
This record from the Alexandria database describes a relaxed Na2CI crystal. The functional is GGA-PBE.

Formation energy without anion corrections = 727 meV/atom
E above lowest polymorph = 85 meV per atom
Symmetry = No. 225

The structure in POSCAR format:
```
Na2CI
1.0
-1.686 1.313 4.812
-0.510 5.072 1.318
-4.793 2.087 0.632
I Na C
1 2 1
direct
0.500 0.500 0.500
0.250 0.250 0.250
0.750 0.750 0.750
0.000 0.000 0.000
```

***

# 6
This record from the Alexandria database describes a relaxed Na2CI2 crystal. The functional is GGA-PBE.

Formation energy without anion corrections = 474 meV/atom
E above lowest polymorph = 62 meV per atom
Symmetry = No. 127

The structure in POSCAR format:
```
Na2CI2
1.0
-0.162 -6.570 5.229
-2.108 -5.031 -6.386
4.161 -0.735 -0.794
I Na C
4 4 2
direct
0.333 0.833 0.000
0.833 0.667 0.000
0.667 0.167 0.000
0.167 0.333 0.000
0.148 0.648 0.500
0.648 0.852 0.500
0.852 0.352 0.500
0.352 0.148 0.500
0.000 0.000 0.000
0.500 0.500 0.000
```

***

# 7
This record from the Alexandria database describes a relaxed Na2CI2 crystal. The functional is GGA-PBE.

Formation energy without anion corrections = 412 meV/atom
E above lowest polymorph = 0 meV per atom
Symmetry = No. 139

The structure in POSCAR format:
```
Na2CI2
1.0
6.209 0.000 0.000
0.000 6.209 0.000
3.104 3.104 4.799
I Na C
2 2 1
direct
0.284 0.284 0.433
0.716 0.716 0.567
0.750 0.250 0.500
0.250 0.750 0.500
0.000 0.000 0.000
```

***

# 8
This record from the Alexandria database describes a relaxed NaCIO2 crystal. The functional is GGA-PBE.

Formation energy without anion corrections = 907 meV/atom
E above lowest polymorph = 0 meV per atom
Symmetry = No. 123

The structure in POSCAR format:
```
NaCIO2
1.0
3.948 0.000 0.000
0.000 3.948 0.000
0.000 0.000 4.606
I Na C O
1 1 1 2
direct
0.000 0.000 0.500
0.500 0.500 0.500
0.000 0.000 0.000
0.000 0.500 0.000
0.500 0.000 0.000
```

***

# 9
This record from the Alexandria database describes a relaxed NaC2IO crystal. The functional is GGA-PBE.

Formation energy without anion corrections = 2670 meV/atom
Symmetry = No. 123

The structure in POSCAR format:
```
NaC2IO
1.0
-2.492 -3.877 -0.259
3.174 -1.936 -1.545
1.363 -1.161 4.255
I Na C O
1 1 2 1
direct
0.500 0.500 0.500
0.000 0.000 0.000
0.000 0.000 0.500
0.500 0.000 0.000
0.000 0.500 0.000
```

***

# 10
This record from the Alexandria database describes a relaxed NaCIO2 crystal. The functional is GGA-PBE.

Formation energy without anion corrections = 1627 meV/atom
E above lowest polymorph = 720 meV per atom
Symmetry = No. 123

The structure in POSCAR format:
```
NaCIO2
1.0
-0.795 -0.042 -4.112
2.121 -3.592 -0.373
-5.613 -3.430 1.121
I Na C O
1 1 1 2
direct
0.000 0.000 0.500
0.000 0.000 0.000
0.500 0.500 0.500
0.000 0.500 0.000
0.500 0.000 0.000
```

***

# 11
This record from the Alexandria database describes a relaxed Na2PdCI crystal. The functional is GGA-PBE.

Formation energy without anion corrections = 963 meV/atom
Symmetry = No. 123

The structure in POSCAR format:
```
Na2PdCI
1.0
4.935 0.000 0.000
0.000 4.477 0.000
0.000 0.000 4.935
I Na C Pd
1 2 1 1
direct
0.000 0.500 0.000
0.000 0.000 0.500
0.500 0.000 0.000
0.000 0.000 0.000
0.500 0.500 0.500
```

***

# 12
This record from the Alexandria database describes a relaxed NaCSe2I crystal. The functional is GGA-PBE.

Formation energy without anion corrections = 1595 meV/atom
Symmetry = No. 123

The structure in POSCAR format:
```
NaCSe2I
1.0
5.489 0.000 0.000
0.000 5.932 0.000
0.000 0.000 5.489
I Na C Se
1 1 1 2
direct
0.000 0.000 0.000
0.000 0.500 0.000
0.500 0.500 0.500
0.000 0.000 0.500
0.500 0.000 0.000
```

***

# 13
This record from the Alexandria database describes a relaxed NaTaC2I crystal. The functional is GGA-PBE.

Formation energy without anion corrections = 1166 meV/atom
Symmetry = No. 123

The structure in POSCAR format:
```
NaTaC2I
1.0
4.147 0.000 0.000
0.000 4.147 0.000
0.000 0.000 11.411
I Na C Ta
1 1 2 1
direct
0.500 0.500 0.500
0.000 0.000 0.500
0.000 0.500 0.000
0.500 0.000 0.000
0.000 0.000 0.000
```

***

# 14
This record from the Alexandria database describes a relaxed NaTe2CI crystal. The functional is GGA-PBE.

Formation energy without anion corrections = 1778 meV/atom
E above lowest polymorph = 1223 meV per atom
Symmetry = No. 123

The structure in POSCAR format:
```
NaTe2CI
1.0
-3.725 -0.910 -4.146
-2.045 -4.449 2.814
-3.824 3.451 2.678
I Na C Te
1 1 1 2
direct
0.000 0.000 0.500
0.000 0.000 0.000
0.500 0.500 0.500
0.000 0.500 0.000
0.500 0.000 0.000
```

***

# 15
This record from the Alexandria database describes a relaxed NaTeCI2 crystal. The functional is GGA-PBE.

Formation energy without anion corrections = 610 meV/atom
E above lowest polymorph = 0 meV per atom
Symmetry = No. 123

The structure in POSCAR format:
```
NaTeCI2
1.0
5.398 0.000 0.000
0.000 5.398 0.000
0.000 0.000 4.741
I Na C Te
2 1 1 1
direct
0.000 0.500 0.000
0.500 0.000 0.000
0.500 0.500 0.500
0.000 0.000 0.000
0.000 0.000 0.500
```

***

# 16
This record from the Alexandria database describes a relaxed NaTeCI2 crystal. The functional is GGA-PBE.

Formation energy without anion corrections = 1719 meV/atom
E above lowest polymorph = 1109 meV per atom
Symmetry = No. 123

The structure in POSCAR format:
```
NaTeCI2
1.0
5.694 0.000 0.000
0.000 5.694 0.000
0.000 0.000 5.730
I Na C Te
2 1 1 1
direct
0.000 0.500 0.000
0.500 0.000 0.000
0.000 0.000 0.000
0.500 0.500 0.500
0.000 0.000 0.500
```

***

# 17
This record from the Alexandria database describes a relaxed NaTe2CI crystal. The functional is GGA-PBE.

Formation energy without anion corrections = 556 meV/atom
E above lowest polymorph = 0 meV per atom
Symmetry = No. 123

The structure in POSCAR format:
```
NaTe2CI
1.0
-1.405 -1.101 -4.239
3.958 -2.226 -0.734
-3.743 -7.726 3.248
I Na C Te
1 1 1 2
direct
0.000 0.000 0.500
0.500 0.500 0.500
0.000 0.000 0.000
0.000 0.500 0.000
0.500 0.000 0.000
```

***

# 18
This record from the Alexandria database describes a relaxed NaTiC2I crystal. The functional is GGA-PBE.

Formation energy without anion corrections = 904 meV/atom
Symmetry = No. 123

The structure in POSCAR format:
```
NaTiC2I
1.0
4.125 0.000 0.000
0.000 5.967 0.000
0.000 0.000 4.125
I Na C Ti
1 1 2 1
direct
0.000 0.500 0.000
0.500 0.500 0.500
0.000 0.000 0.500
0.500 0.000 0.000
0.000 0.000 0.000
```

***

# 19
This record from the Alexandria database describes a relaxed Na2YCI crystal. The functional is GGA-PBE.

Formation energy without anion corrections = 1493 meV/atom
Symmetry = No. 123

The structure in POSCAR format:
```
Na2YCI
1.0
6.871 0.000 0.000
0.000 5.827 0.000
0.000 0.000 6.871
I Y C Na
1 1 1 2
direct
0.000 0.500 0.000
0.000 0.000 0.000
0.500 0.500 0.500
0.000 0.000 0.500
0.500 0.000 0.000
```

***

# 20
This record from the Alexandria database describes a relaxed NbC2I crystal. The functional is GGA-PBE.

Formation energy without anion corrections = 2316 meV/atom
E above lowest polymorph = 861 meV per atom
Symmetry = No. 225

The structure in POSCAR format:
```
NbC2I
1.0
0.000 2.975 2.975
2.975 0.000 2.975
2.975 2.975 0.000
I Nb C
1 1 2
direct
0.500 0.500 0.500
0.000 0.000 0.000
0.250 0.250 0.250
0.750 0.750 0.750
```